A plane-wave DFT calculation with PBE+U was carried out for crystalline ScIn2MoO8 at its relaxed geometry.

It has space group Cmmm (No. 65), with a = 6.869 Å, b = 7.047 Å, c = 6.433 Å, α = 90.00°, β = 90.00° and γ = 90.00°. Symmetry generates all atoms from Sc at (0.000, 0.000, 0.000), In at (0.000, 0.500, 0.249), Mo at (0.000, 0.000, 0.500), O at (0.000, 0.183, 0.275), O at (0.203, 0.500, 0.000) and O at (0.213, 0.500, 0.500).

The volume comes out at 12.98 A^3/atom. The calculation puts the calculated total energy at -160.24 eV per cell.